Record 1
# LaTb2NdDy (PBE-GGA, optimized geometry)
# Size of the total moment = 0.00 μB per formula unit
# Final energy = -4.355 eV per atom
# Formation energy = 357 meV/atom
# V = 35.73 Å³/atom
data_LaTb2NdDy
_space_group_name_H-M_alt 'P 1'
_space_group_IT_number 1
_cell_length_a 7.229
_cell_length_b 8.489
_cell_length_c 7.206
_cell_angle_alpha 126.09
_cell_angle_beta 90.00
_cell_angle_gamma 90.00
loop_
_space_group_symop_operation_xyz
'x,y,z'
loop_
_atom_site_label
_atom_site_fract_x
_atom_site_fract_y
_atom_site_fract_z
Tb1 0.500 0.312 0.000
Tb2 0.500 0.688 0.000
Tb3 0.000 0.688 0.000
Tb4 0.000 0.312 0.000
La1 0.750 0.266 0.532
La2 0.250 0.734 0.468
Nd1 0.250 0.997 0.994
Nd2 0.750 0.003 0.006
Dy1 0.750 0.721 0.441
Dy2 0.250 0.279 0.559

=====

Record 2
# GaTe2I (PBE-GGA, optimized geometry)
# Energy relative to the elements, uncorrected = 8 kJ/mol of atoms
# Size of the total moment = 0.00 μB per formula unit
# Final energy = -2.637 eV per atom
# ΔE to the lowest computed polymorph = 7.31 kcal/mol of atoms
# V = 37.03 Å³/atom
data_GaTe2I
_space_group_name_H-M_alt 'P 1'
_space_group_IT_number 1
_cell_length_a 7.737
_cell_length_b 7.737
_cell_length_c 7.378
_cell_angle_alpha 58.38
_cell_angle_beta 58.38
_cell_angle_gamma 90.00
loop_
_space_group_symop_operation_xyz
'x,y,z'
loop_
_atom_site_label
_atom_site_fract_x
_atom_site_fract_y
_atom_site_fract_z
Te1 0.195 0.625 0.250
Te2 0.555 0.125 0.250
Te3 0.375 0.445 0.750
Te4 0.875 0.805 0.750
Ga1 0.500 0.500 0.000
Ga2 0.250 0.750 0.500
I1 0.000 0.000 0.000
I2 0.750 0.250 0.500

=====

Record 3
# Pm2Si2Au (PBE-GGA, optimized geometry)
# Energy relative to the elements, uncorrected = -75 kJ/mol of atoms
# Size of the total moment = 0.00 μB per formula unit
# Final energy = -5.499 eV per atom
# V = 22.77 Å³/atom
data_Pm2Si2Au
_space_group_name_H-M_alt 'P 1'
_space_group_IT_number 1
_cell_length_a 4.331
_cell_length_b 5.902
_cell_length_c 9.822
_cell_angle_alpha 83.62
_cell_angle_beta 77.26
_cell_angle_gamma 68.47
loop_
_space_group_symop_operation_xyz
'x,y,z'
loop_
_atom_site_label
_atom_site_fract_x
_atom_site_fract_y
_atom_site_fract_z
Pm1 0.102 0.701 0.095
Pm2 0.709 0.237 0.345
Pm3 0.291 0.763 0.655
Pm4 0.898 0.299 0.905
Au1 0.429 0.822 0.319
Au2 0.571 0.178 0.681
Si1 0.031 0.349 0.590
Si2 0.616 0.873 0.894
Si3 0.384 0.127 0.106
Si4 0.969 0.651 0.410

=====

Question: Which of these has the highest final energy?
Answer: GaTe2I